Entry from Alexandria via LeMat-Bulk: Y8CS6 after structural relaxation (PBE).

Cell lengths 3.995, 9.815, 9.815 Å; angles 120.00, 90.00, 90.00 degrees
Positions (direct):
Y (0.737, 0.975, 0.273)
Y (0.737, 0.727, 0.702)
Y (0.737, 0.298, 0.025)
Y (0.263, 0.025, 0.727)
Y (0.263, 0.273, 0.298)
Y (0.263, 0.702, 0.975)
Y (0.745, 0.333, 0.667)
Y (0.255, 0.667, 0.333)
C (0.500, 0.000, 0.000)
S (0.755, 0.654, 0.130)
S (0.755, 0.870, 0.524)
S (0.755, 0.476, 0.346)
S (0.245, 0.346, 0.870)
S (0.245, 0.130, 0.476)
S (0.245, 0.524, 0.654)

Output
Calculated volume in A^3/atom: 22.22
Total magnetization in μB per atom: 0.000
Raw total energy in eV per atom: -6.905
Formation energy (no corrections) in eV per atom: -1.1915